# Tb2Nd5DyTh, optimized geometry, DFT PBE
data_Tb2Nd5DyTh
_cell_length_a 5.6647
_cell_length_b 20.6356
_cell_length_c 10.6408
_cell_angle_alpha 90.00
_cell_angle_beta 90.00
_cell_angle_gamma 90.00
_symmetry_space_group_name_H-M 'C m c 21'
_symmetry_Int_Tables_number 36
loop_
_symmetry_equiv_pos_as_xyz
'x,y,z'
'-x,-y,z+1/2'
'-x,y,z'
'x,-y,z+1/2'
'x+1/2,y+1/2,z'
'-x+1/2,-y+1/2,z+1/2'
'-x+1/2,y+1/2,z'
'x+1/2,-y+1/2,z+1/2'
loop_
_atom_site_label
_atom_site_fract_x
_atom_site_fract_y
_atom_site_fract_z
Tb1 0.0000 0.1128 0.0000
Tb2 0.0000 0.1152 0.4301
Nd1 0.0000 0.0135 0.7210
Nd2 0.0000 0.2762 0.4256
Nd3 0.0000 0.2922 0.0339
Nd4 0.0000 0.3838 0.7144
Nd5 0.0000 0.4834 0.9926
Dy1 0.0000 0.4045 0.2766
Th1 0.0000 0.1995 0.7274
# raw total energy	-4.860	eV per atom
# energy of formation from the pure elements	0.15	eV per atom
# M_tot	0.0000	μB/atom